A geometry-optimized FeCo4 structure, computed with PBE.

Summary:
Volume: 56 Å³ per cell
Formation energy: 33 meV per atom
Symmetry: No. 139
DOS at the Fermi energy: 4.7 states/eV/f.u.
ΔE to the lowest computed polymorph: 0.03 kcal/mol of atoms
Spin magnetization: 9.5 μB/f.u.

a = 7.4665 Å, b = 7.4665 Å, c = 7.4665 Å
α = 158.48°, β = 158.48°, γ = 30.62°
With the nearest neighbours (Å) after each atom.
Atoms (fractional coordinates):
Fe  0.0000  0.0000  0.0000  8 Co 2.43
Co  0.2012  0.2012  0.0000  8 Co 2.42-2.47
Co  0.4017  0.4017  0.0000  4 Fe 2.43, 4 Co 2.47
Co  0.5983  0.5983  0.0000  4 Fe 2.43, 4 Co 2.47
Co  0.7988  0.7988  0.0000  8 Co 2.42-2.47

***

A geometry-optimized GaSi2HS structure, computed with PBE.

Summary:
Volume: 100 Å³ per cell
Symmetry: No. 8
ΔE to the lowest computed polymorph: 2.99 kcal/mol of atoms
Spin magnetization: 0.0 μB/f.u.

a = 5.4642 Å, b = 5.4642 Å, c = 5.5235 Å
α = 111.75°, β = 111.75°, γ = 41.41°
With the nearest neighbours (Å) after each atom.
Atoms (fractional coordinates):
Ga  0.0000  0.0000  0.0000  2 Si 2.42-2.48, 2 S 2.45
Si  0.2536  0.2536  0.3150  1 S 2.18, 2 Si 2.36
Si  0.7961  0.7961  0.5818  1 H 1.51
H  0.6867  0.6867  0.7010  1 Si 1.51
S  0.4355  0.4355  0.2022  1 Si 2.18

***

A geometry-optimized Tb3DyPt3 structure, computed with PBE.

Summary:
Volume: 344 Å³ per cell
Formation energy: -1008 meV per atom
Symmetry: No. 12
DOS at the Fermi energy: 4.5 states/eV/f.u.
Spin magnetization: 0.0 μB/f.u.

a = 6.9810 Å, b = 6.9810 Å, c = 7.1259 Å
α = 90.85°, β = 90.85°, γ = 97.49°
With the nearest neighbours (Å) after each atom.
Atoms (fractional coordinates):
Tb  0.1761  0.8239  0.0000  6 Pt 2.84-2.94
Tb  0.2478  0.7522  0.5000  6 Pt 3.00-3.07
Tb  0.3356  0.3356  0.1232  3 Pt 2.88-2.96
Tb  0.6644  0.6644  0.8768  3 Pt 2.88-2.96
Tb  0.7522  0.2478  0.5000  6 Pt 3.00-3.07
Tb  0.8239  0.1761  0.0000  6 Pt 2.84-2.94
Dy  0.2591  0.2591  0.6171  4 Pt 2.77-3.00
Dy  0.7409  0.7409  0.3829  4 Pt 2.77-3.00
Pt  0.0187  0.4962  0.7813  1 Dy 2.77, 5 Tb 2.84-3.07
Pt  0.0603  0.0603  0.3064  2 Dy 2.84-3.00, 5 Tb 2.88-3.00, 1 Pt 3.00
Pt  0.4962  0.0187  0.7813  1 Dy 2.77, 5 Tb 2.84-3.07
Pt  0.5038  0.9813  0.2187  1 Dy 2.77, 5 Tb 2.84-3.07
Pt  0.9397  0.9397  0.6936  2 Dy 2.84-3.00, 5 Tb 2.88-3.00, 1 Pt 3.00
Pt  0.9813  0.5038  0.2187  1 Dy 2.77, 5 Tb 2.84-3.07

***

A geometry-optimized MnTcNi2H structure, computed with PBE.

Summary:
Volume: 51 Å³ per cell
Symmetry: No. 123
DOS at the Fermi energy: 5.9 states/eV/f.u.
ΔE to the lowest computed polymorph: 0.00 kcal/mol of atoms
Spin magnetization: 1.7 μB/f.u.

a = 3.6202 Å, b = 3.6202 Å, c = 3.8907 Å
α = 90.00°, β = 90.00°, γ = 90.00°
With the nearest neighbours (Å) after each atom.
Atoms (fractional coordinates):
Mn  0.0000  0.0000  0.0000  4 Tc 2.56, 8 Ni 2.66
Tc  0.5000  0.5000  0.0000  2 H 1.95
Ni  0.0000  0.5000  0.5000  2 H 1.81
Ni  0.5000  0.0000  0.5000  2 H 1.81
H  0.5000  0.5000  0.5000  4 Ni 1.81, 2 Tc 1.95

***

A geometry-optimized DyTmCdIn structure, computed with PBE.

Summary:
Volume: 103 Å³ per cell
Formation energy: -393 meV per atom
Symmetry: No. 216
DOS at the Fermi energy: 3.9 states/eV/f.u.
Spin magnetization: 0.0 μB/f.u.

a = 5.2671 Å, b = 5.2671 Å, c = 5.2671 Å
α = 60.00°, β = 60.00°, γ = 60.00°
With the nearest neighbours (Å) after each atom.
Atoms (fractional coordinates):
Dy  0.0000  0.0000  0.0000  4 In 3.23, 4 Cd 3.23
Tm  0.5000  0.5000  0.5000  4 In 3.23, 4 Cd 3.23
Cd  0.2500  0.2500  0.2500  4 Tm 3.23, 4 Dy 3.23
In  0.7500  0.7500  0.7500  4 Tm 3.23, 4 Dy 3.23

***

A geometry-optimized LiTbDyGa structure, computed with PBE.

Summary:
Volume: 94 Å³ per cell
Formation energy: -314 meV per atom
Symmetry: No. 216
DOS at the Fermi energy: 3.6 states/eV/f.u.
Spin magnetization: 0.0 μB/f.u.

a = 5.1051 Å, b = 5.1051 Å, c = 5.1051 Å
α = 60.00°, β = 60.00°, γ = 60.00°
With the nearest neighbours (Å) after each atom.
Atoms (fractional coordinates):
Li  0.0000  0.0000  0.0000  4 Tb 3.13, 4 Dy 3.13
Tb  0.7500  0.7500  0.7500  4 Li 3.13, 4 Ga 3.13
Dy  0.2500  0.2500  0.2500  4 Ga 3.13, 4 Li 3.13
Ga  0.5000  0.5000  0.5000  4 Tb 3.13, 4 Dy 3.13

***

A geometry-optimized Sr2GdGaO5 structure, computed with PBE.

Summary:
Volume: 259 Å³ per cell
Symmetry: No. 69
DOS at the Fermi energy: 0.0 states/eV/f.u.
Formation energy (no corrections): -2702 meV per atom
Spin magnetization: 7.0 μB/f.u.

a = 7.4162 Å, b = 7.3954 Å, c = 6.7605 Å
α = 63.00°, β = 62.69°, γ = 54.31°
With the nearest neighbours (Å) after each atom.
Atoms (fractional coordinates):
Sr  0.1744  0.8256  0.1744  4 O 2.39-2.49
Sr  0.2500  0.2500  0.2500  10 O 2.83-2.88
Sr  0.7500  0.7500  0.7500  10 O 2.83-2.88
Sr  0.8256  0.1744  0.8256  4 O 2.39-2.49
Gd  0.3194  0.6806  0.6806  4 O 2.27-2.49
Gd  0.6806  0.3194  0.3194  4 O 2.27-2.49
Ga  0.2473  0.2473  0.7527  4 O 1.84-1.87
Ga  0.7527  0.7527  0.2473  4 O 1.84-1.87
O  0.0000  0.0000  0.5000  2 Gd 2.49, 2 Sr 2.49
O  0.0092  0.7048  0.9908  1 Ga 1.87
O  0.2186  0.4988  0.5012  1 Ga 1.84
O  0.2952  0.9908  0.7048  1 Ga 1.87
O  0.4988  0.2186  0.7814  1 Ga 1.84
O  0.5000  0.5000  0.0000  2 Gd 2.49, 2 Sr 2.49
O  0.5012  0.7814  0.2186  1 Ga 1.84
O  0.7048  0.0092  0.2952  1 Ga 1.87
O  0.7814  0.5012  0.4988  1 Ga 1.84
O  0.9908  0.2952  0.0092  1 Ga 1.87

***

A geometry-optimized B5C7 structure, computed with PBE.

Summary:
Volume: 79 Å³ per cell
Formation energy: 372 meV per atom
Symmetry: No. 8
DOS at the Fermi energy: 1.2 states/eV/f.u.
ΔE to the lowest computed polymorph: 2.62 kcal/mol of atoms
Spin magnetization: 0.0 μB/f.u.

a = 6.8901 Å, b = 6.8901 Å, c = 4.7848 Å
α = 104.23°, β = 104.23°, γ = 21.10°
With the nearest neighbours (Å) after each atom.
Atoms (fractional coordinates):
B  0.0000  0.0000  0.0000  3 C 1.61-1.62
B  0.1489  0.1489  0.1313  1 C 1.50
B  0.3009  0.3009  0.0002  3 C 1.68-1.71
B  0.5084  0.5084  0.5150  4 C 1.63-1.66
B  0.6865  0.6865  0.3960  2 C 1.57-1.59
C  0.1561  0.1561  0.8226  2 C 1.50, 1 B 1.50
C  0.3427  0.3427  0.6917  3 C 1.52-1.55
C  0.4581  0.4581  0.7910  1 C 1.52, 3 B 1.62-1.63
C  0.6325  0.6325  0.6504  2 C 1.50, 2 B 1.57-1.64
C  0.8077  0.8077  0.5036  3 C 1.55-1.57, 1 B 1.59
C  0.8489  0.8489  0.2246  2 C 1.49-1.57
C  0.9622  0.9622  0.2944  1 C 1.49, 3 B 1.61-1.66

***

A geometry-optimized ReRu2Au structure, computed with PBE.

Summary:
Volume: 137 Å³ per cell
Formation energy: 664 meV per atom
Symmetry: No. 122
DOS at the Fermi energy: 0.4 states/eV/f.u.
ΔE to the lowest computed polymorph: 12.11 kcal/mol of atoms
Spin magnetization: 0.0 μB/f.u.

a = 5.7080 Å, b = 5.7080 Å, c = 5.7080 Å
α = 103.29°, β = 103.29°, γ = 122.70°
With the nearest neighbours (Å) after each atom.
Atoms (fractional coordinates):
Re  0.0000  0.0000  0.0000  4 Ru 2.39
Re  0.7500  0.2500  0.5000  4 Ru 2.39
Ru  0.0800  0.6250  0.9550  2 Re 2.39
Ru  0.3750  0.3300  0.4550  2 Re 2.39
Ru  0.6700  0.1250  0.0450  2 Re 2.39
Ru  0.8750  0.9200  0.5450  2 Re 2.39
Au  0.2500  0.7500  0.5000  2 Re 2.74, 4 Ru 2.82
Au  0.5000  0.5000  0.0000  2 Re 2.74, 4 Ru 2.82

***

A geometry-optimized Ta2CrRe structure, computed with PBE.

Summary:
Volume: 63 Å³ per cell
Formation energy: -75 meV per atom
Symmetry: No. 47
DOS at the Fermi energy: 1.9 states/eV/f.u.
Spin magnetization: 0.0 μB/f.u.

a = 3.1707 Å, b = 4.3827 Å, c = 4.5287 Å
α = 90.00°, β = 90.00°, γ = 90.00°
With the nearest neighbours (Å) after each atom.
Atoms (fractional coordinates):
Ta  0.0000  0.0000  0.0000  4 Re 2.70, 4 Ta 2.76
Ta  0.5000  0.0000  0.5000  4 Cr 2.70, 4 Ta 2.76
Cr  0.0000  0.5000  0.5000  4 Ta 2.70, 4 Re 2.76
Re  0.5000  0.5000  0.0000  4 Ta 2.70, 4 Cr 2.76

***

A geometry-optimized Sm2TiGe4Pd3 structure, computed with PBE.

Summary:
Volume: 193 Å³ per cell
Formation energy: -779 meV per atom
Symmetry: No. 115
DOS at the Fermi energy: 4.1 states/eV/f.u.
Spin magnetization: 0.0 μB/f.u.

a = 4.1999 Å, b = 4.1999 Å, c = 10.9556 Å
α = 90.00°, β = 90.00°, γ = 90.00°
With the nearest neighbours (Å) after each atom.
Atoms (fractional coordinates):
Sm  0.0000  0.5000  0.2434  6 Pd 3.21-3.51, 8 Ge 3.23-3.39, 2 Ti 3.51
Sm  0.5000  0.0000  0.7566  6 Pd 3.21-3.51, 8 Ge 3.23-3.39, 2 Ti 3.51
Ti  0.0000  0.0000  0.5000  4 Ge 2.60
Ge  0.0000  0.0000  0.0000  4 Pd 2.55
Ge  0.0000  0.5000  0.6404  3 Pd 2.50-2.60, 2 Ti 2.60
Ge  0.5000  0.0000  0.3596  3 Pd 2.50-2.60, 2 Ti 2.60
Ge  0.5000  0.5000  0.0000  4 Pd 2.55
Pd  0.0000  0.5000  0.8682  5 Ge 2.50-2.55
Pd  0.5000  0.0000  0.1318  5 Ge 2.50-2.55
Pd  0.5000  0.5000  0.5000  4 Ge 2.60

***

A geometry-optimized Dy5In2Ir structure, computed with PBE.

Summary:
Volume: 555 Å³ per cell
Formation energy: -132 meV per atom
Symmetry: No. 63
DOS at the Fermi energy: 8.4 states/eV/f.u.
ΔE to the lowest computed polymorph: 8.92 kcal/mol of atoms
Spin magnetization: 0.0 μB/f.u.

a = 8.5967 Å, b = 8.5967 Å, c = 12.2651 Å
α = 90.00°, β = 90.00°, γ = 142.26°
With the nearest neighbours (Å) after each atom.
Atoms (fractional coordinates):
Dy  0.0705  0.9295  0.6016  1 Ir 2.67
Dy  0.0705  0.9295  0.8984  1 Ir 2.67
Dy  0.2941  0.7059  0.5684  1 Ir 2.80
Dy  0.2941  0.7059  0.9316  1 Ir 2.80
Dy  0.3011  0.6989  0.2500  2 Ir 2.78
Dy  0.6989  0.3011  0.7500  2 Ir 2.78
Dy  0.7059  0.2941  0.0684  1 Ir 2.80
Dy  0.7059  0.2941  0.4316  1 Ir 2.80
Dy  0.9295  0.0705  0.1016  1 Ir 2.67
Dy  0.9295  0.0705  0.3984  1 Ir 2.67
In  0.1248  0.8752  0.1330  1 In 2.87, 5 Dy 3.01-3.21
In  0.1248  0.8752  0.3670  1 In 2.87, 5 Dy 3.01-3.21
In  0.8752  0.1248  0.6330  1 In 2.87, 5 Dy 3.01-3.21
In  0.8752  0.1248  0.8670  1 In 2.87, 5 Dy 3.01-3.21
Ir  0.1903  0.8097  0.7500  6 Dy 2.67-2.80
Ir  0.8097  0.1903  0.2500  6 Dy 2.67-2.80